Record 1
DFT (PBE) results for a relaxed Tl3HgRh crystal.

a b c (Å): 9.7050 5.4874 10.5799
angles (deg): 90.00 116.27 90.00
Space group P2_1/c (No. 14)
One atom of each set of equivalent atoms:
Tl (0.0629, 0.0637, 0.3678) x4
Tl (0.3232, 0.6219, 0.4184) x4
Tl (0.4051, 0.1198, 0.6660) x4
Hg (0.1606, 0.5388, 0.6120) x4
Rh (0.3712, 0.1287, 0.3833) x4

Calculated values
Formation energy from the elements (meV/atom): 40


Record 2
DFT (PBE) results for a relaxed Ac4La3Sm crystal.

a b c (Å): 12.5290 14.3476 3.6903
angles (deg): 90.00 90.00 90.00
Space group Cmmm (No. 65)
One atom of each set of equivalent atoms:
Ac (0.0000, 0.2481, 0.0000) x4
Ac (0.2480, 0.0000, 0.5000) x4
La (0.0000, 0.5000, 0.0000) x2
La (0.2500, 0.2500, 0.5000) x4
Sm (0.0000, 0.0000, 0.0000) x2

Calculated values
Formation energy from the elements (meV/atom): 360


Record 3
DFT (PBE) results for a relaxed LiHfZrZn crystal.

a b c (Å): 6.6417 6.6417 6.6417
angles (deg): 90.00 90.00 90.00
Space group F-43m (No. 216)
One atom of each set of equivalent atoms:
Li (0.0000, 0.0000, 0.0000) x4
Hf (0.2500, 0.2500, 0.7500) x4
Zr (0.2500, 0.2500, 0.2500) x4
Zn (0.0000, 0.0000, 0.5000) x4

Calculated values
Formation energy from the elements (meV/atom): 28


Record 4
DFT (PBE) results for a relaxed SrZn2Tc crystal.

a b c (Å): 4.6207 4.6207 3.6358
angles (deg): 90.00 90.00 90.00
Space group P4/mmm (No. 123)
One atom of each set of equivalent atoms:
Sr (0.0000, 0.0000, 0.0000) x1
Zn (0.0000, 0.5000, 0.5000) x2
Tc (0.5000, 0.5000, 0.0000) x1

Calculated values
Formation energy from the elements (meV/atom): 482


Record 5
DFT (PBE) results for a relaxed Mg2SiPd crystal.

a b c (Å): 7.3569 7.3569 5.5099
angles (deg): 90.00 90.00 90.00
Space group I-42d (No. 122)
One atom of each set of equivalent atoms:
Mg (0.2408, 0.2500, 0.1250) x8
Si (0.0000, 0.0000, 0.5000) x4
Pd (0.0000, 0.0000, 0.0000) x4

Calculated values
Formation energy (no corrections) (eV per atom): 0.01


Record 6
DFT (PBE) results for a relaxed NdBe2Pt3 crystal.

a b c (Å): 9.2731 9.2731 3.8489
angles (deg): 90.00 90.00 120.00
Space group P6/mmm (No. 191)
One atom of each set of equivalent atoms:
Nd (0.0000, 0.0000, 0.0000) x1
Nd (0.3333, 0.6667, 0.5000) x2
Be (0.1807, 0.3614, 0.0000) x6
Pt (0.0000, 0.2915, 0.5000) x6
Pt (0.0000, 0.5000, 0.0000) x3

Calculated values
Formation energy from the elements (meV/atom): -767